A plane-wave DFT calculation with GGA+U was carried out for a geometry-optimized HfCrMoO6 structure.

Calculated values
V: 103 Å³/f.u.
E_tot: -148.9 eV/cell

a = 5.143 Å, b = 5.143 Å, c = 8.967 Å
α = 90.00°, β = 90.00°, γ = 120.00°
Fractional positions:
1 Hf 0.333 0.667 0.250
2 Hf 0.667 0.333 0.750
3 Cr 0.333 0.667 0.750
4 Cr 0.667 0.333 0.250
5 Mo 0.000 0.000 0.000
6 Mo 0.000 0.000 0.500
7 O 0.008 0.328 0.628
8 O 0.008 0.679 0.872
9 O 0.321 0.328 0.872
10 O 0.321 0.992 0.628
11 O 0.328 0.008 0.128
12 O 0.328 0.321 0.372
13 O 0.672 0.679 0.628
14 O 0.672 0.992 0.872
15 O 0.679 0.008 0.372
16 O 0.679 0.672 0.128
17 O 0.992 0.321 0.128
18 O 0.992 0.672 0.372